#1
Density functional theory data (PBE) for a relaxed structure of ZnH2Cl.

Unit cell a=3.9577 b=3.9577 c=3.9577 alpha=60.00 beta=60.00 gamma=60.00
With the nearest neighbours (Å) after each atom.
Atoms (fractional coordinates):
Zn1 0.0000 0.0000 0.0000  8 H 2.42
H1 0.2500 0.2500 0.2500  4 Cl 2.42, 4 Zn 2.42
H2 0.7500 0.7500 0.7500  4 Cl 2.42, 4 Zn 2.42
Cl1 0.5000 0.5000 0.5000  8 H 2.42

Calculated values
magnetization: 0.00 μB per cell
crystal system: cubic
calculated density: 3.90 g/cm³
space-group type: No. 225
D(E_F): 1.5 states/eV/cell

=====

#2
Density functional theory data (PBE) for a relaxed structure of ZnH2Cl.

Unit cell a=5.3592 b=5.3592 c=5.3592 alpha=120.97 beta=120.97 gamma=88.32
With the nearest neighbours (Å) after each atom.
Atoms (fractional coordinates):
Zn1 0.0000 0.0000 0.0000  4 H 1.68
Zn2 0.7500 0.2500 0.5000  4 H 1.68
H1 0.3750 0.1972 0.3222  2 Zn 1.68
H2 0.8028 0.1250 0.1778  2 Zn 1.68
H3 0.8750 0.0528 0.6778  2 Zn 1.68
H4 0.9472 0.6250 0.8222  2 Zn 1.68
Cl1 0.2500 0.7500 0.5000  4 H 2.79
Cl2 0.5000 0.5000 0.0000  4 H 2.79

Calculated values
magnetization: 2.00 μB per cell
crystal system: tetragonal
calculated density: 3.19 g/cm³
space-group type: No. 122
D(E_F): 3.9 states/eV/cell

=====

Taking the most stable structure as the zero point, the relative energies in eV/atom are #1 0.605; #2 0.000.

=====

#1
Density functional theory data (PBE) for a relaxed structure of ZrH3Cl.

Unit cell a=3.7313 b=3.7313 c=3.7313 alpha=90.00 beta=90.00 gamma=90.00
With the nearest neighbours (Å) after each atom.
Atoms (fractional coordinates):
Zr1 0.0000 0.0000 0.0000  12 H 2.64
H1 0.0000 0.5000 0.5000  2 Cl 1.87
H2 0.5000 0.0000 0.5000  2 Cl 1.87
H3 0.5000 0.5000 0.0000  2 Cl 1.87
Cl1 0.5000 0.5000 0.5000  6 H 1.87

Calculated values
magnetization: 0.61 μB per cell
crystal system: cubic
calculated density: 4.15 g/cm³
space-group type: No. 221
D(E_F): 4.8 states/eV/cell

=====

#2
Density functional theory data (PBE) for a relaxed structure of ZrH3Cl.

Unit cell a=3.9129 b=3.9129 c=3.9129 alpha=90.00 beta=90.00 gamma=90.00
With the nearest neighbours (Å) after each atom.
Atoms (fractional coordinates):
Zr1 0.0000 0.0000 0.0000  6 H 1.96
H1 0.0000 0.0000 0.5000  2 Zr 1.96
H2 0.0000 0.5000 0.0000  2 Zr 1.96
H3 0.5000 0.0000 0.0000  2 Zr 1.96
Cl1 0.5000 0.5000 0.5000  12 H 2.77

Calculated values
magnetization: 0.00 μB per cell
crystal system: cubic
calculated density: 3.59 g/cm³
space-group type: No. 221
D(E_F): 0.0 states/eV/cell

=====

Taking the most stable structure as the zero point, the relative energies in eV/atom are #1 1.209; #2 0.000.

=====

#1
Density functional theory data (PBE) for a relaxed structure of ZrHCl3.

Unit cell a=4.3411 b=4.3411 c=4.3411 alpha=90.00 beta=90.00 gamma=90.00
With the nearest neighbours (Å) after each atom.
Atoms (fractional coordinates):
Zr1 0.0000 0.0000 0.0000  12 Cl 3.07
H1 0.5000 0.5000 0.5000  6 Cl 2.17
Cl1 0.0000 0.5000 0.5000  2 H 2.17
Cl2 0.5000 0.0000 0.5000  2 H 2.17
Cl3 0.5000 0.5000 0.0000  2 H 2.17

Calculated values
magnetization: 1.61 μB per cell
crystal system: cubic
calculated density: 4.03 g/cm³
space-group type: No. 221
D(E_F): 4.6 states/eV/cell

=====

#2
Density functional theory data (PBE) for a relaxed structure of ZrHCl3.

Unit cell a=5.0446 b=5.0446 c=5.0446 alpha=90.00 beta=90.00 gamma=90.00
With the nearest neighbours (Å) after each atom.
Atoms (fractional coordinates):
Zr1 0.0000 0.0000 0.0000  6 Cl 2.52
H1 0.5000 0.5000 0.5000  12 Cl 3.57
Cl1 0.0000 0.0000 0.5000  2 Zr 2.52
Cl2 0.0000 0.5000 0.0000  2 Zr 2.52
Cl3 0.5000 0.0000 0.0000  2 Zr 2.52

Calculated values
magnetization: 1.00 μB per cell
crystal system: cubic
calculated density: 2.57 g/cm³
space-group type: No. 221
D(E_F): 1.9 states/eV/cell

=====

#3
Density functional theory data (PBE) for a relaxed structure of ZrHCl3.

Unit cell a=8.6749 b=8.6749 c=8.6749 alpha=125.13 beta=74.28 gamma=134.06
With the nearest neighbours (Å) after each atom.
Atoms (fractional coordinates):
Zr1 0.2076 0.2500 0.4576  2 H 1.93-2.01
Zr2 0.7924 0.7500 0.5424  2 H 1.93-2.01
H1 0.1009 0.0457 0.5552  2 Zr 1.93-2.01
H2 0.4904 0.5457 0.4448  2 Zr 1.93-2.01
Cl1 0.1940 0.0412 0.1232  1 Zr 2.36
Cl2 0.1940 0.5708 0.6528  1 Zr 2.36
Cl3 0.5254 0.4017 0.6237  2 Zr 2.52-2.61, 2 H 2.59-2.66
Cl4 0.7779 0.9017 0.3763  2 Zr 2.52-2.61, 2 H 2.59-2.66
Cl5 0.9180 0.0708 0.8768  1 Zr 2.36
Cl6 0.9180 0.5412 0.3472  1 Zr 2.36

Calculated values
magnetization: 0.00 μB per cell
crystal system: orthorhombic
calculated density: 1.76 g/cm³
space-group type: No. 46
D(E_F): 0.0 states/eV/cell

=====

Taking the most stable structure as the zero point, the relative energies in eV/atom are #1 1.260; #2 0.520; #3 0.000.

=====

#1
Density functional theory data (PBE) for a relaxed structure of HfHgCl2.

Unit cell a=8.3284 b=8.3284 c=8.3284 alpha=132.01 beta=132.01 gamma=70.21
With the nearest neighbours (Å) after each atom.
Atoms (fractional coordinates):
Hf1 0.0000 0.0000 0.0000  4 Cl 2.43
Hf2 0.7500 0.2500 0.5000  4 Cl 2.43
Hg1 0.2500 0.7500 0.5000  4 Cl 3.88
Hg2 0.5000 0.5000 0.0000  4 Cl 3.88
Cl1 0.3750 0.1750 0.3000  2 Hf 2.43
Cl2 0.8250 0.1250 0.2000  2 Hf 2.43
Cl3 0.8750 0.0750 0.7000  2 Hf 2.43
Cl4 0.9250 0.6250 0.8000  2 Hf 2.43

Calculated values
magnetization: 2.22 μB per cell
crystal system: tetragonal
calculated density: 4.78 g/cm³
space-group type: No. 122
D(E_F): 5.5 states/eV/cell

=====

#2
Density functional theory data (PBE) for a relaxed structure of HfHgCl2.

Unit cell a=4.9168 b=4.9168 c=4.9168 alpha=60.00 beta=60.00 gamma=60.00
With the nearest neighbours (Å) after each atom.
Atoms (fractional coordinates):
Hf1 0.0000 0.0000 0.0000  8 Cl 3.01
Hg1 0.5000 0.5000 0.5000  8 Cl 3.01
Cl1 0.2500 0.2500 0.2500  4 Hf 3.01, 4 Hg 3.01
Cl2 0.7500 0.7500 0.7500  4 Hg 3.01, 4 Hf 3.01

Calculated values
magnetization: 1.45 μB per cell
crystal system: cubic
calculated density: 8.89 g/cm³
space-group type: No. 225
D(E_F): 1.9 states/eV/cell

=====

#3
Density functional theory data (PBE) for a relaxed structure of HfHgCl2.

Unit cell a=11.5430 b=11.5430 c=11.5430 alpha=16.37 beta=16.37 gamma=16.37
With the nearest neighbours (Å) after each atom.
Atoms (fractional coordinates):
Hf1 0.0000 0.0000 0.0000  6 Cl 2.62
Hg1 0.5000 0.5000 0.5000  6 Hg 3.29
Cl1 0.3861 0.3861 0.3861  3 Hf 2.62
Cl2 0.6139 0.6139 0.6139  3 Hf 2.62

Calculated values
magnetization: 0.00 μB per cell
crystal system: trigonal
calculated density: 7.01 g/cm³
space-group type: No. 166
D(E_F): 1.6 states/eV/cell

=====

Taking the most stable structure as the zero point, the relative energies in eV/atom are #1 0.595; #2 0.923; #3 0.000.

=====

#1
Density functional theory data (PBE) for a relaxed structure of HfHg3Cl.

Unit cell a=5.3320 b=5.3320 c=5.3320 alpha=90.00 beta=90.00 gamma=90.00
With the nearest neighbours (Å) after each atom.
Atoms (fractional coordinates):
Hf1 0.0000 0.0000 0.0000  12 Hg 3.77
Hg1 0.0000 0.5000 0.5000  2 Cl 2.67
Hg2 0.5000 0.0000 0.5000  2 Cl 2.67
Hg3 0.5000 0.5000 0.0000  2 Cl 2.67
Cl1 0.5000 0.5000 0.5000  6 Hg 2.67

Calculated values
magnetization: 2.08 μB per cell
crystal system: cubic
calculated density: 8.94 g/cm³
space-group type: No. 221
D(E_F): 6.0 states/eV/cell

=====

#2
Density functional theory data (PBE) for a relaxed structure of HfHg3Cl.

Unit cell a=5.6437 b=5.6437 c=5.6437 alpha=90.00 beta=90.00 gamma=90.00
With the nearest neighbours (Å) after each atom.
Atoms (fractional coordinates):
Hf1 0.0000 0.0000 0.0000  6 Hg 2.82
Hg1 0.0000 0.0000 0.5000  2 Hf 2.82
Hg2 0.0000 0.5000 0.0000  2 Hf 2.82
Hg3 0.5000 0.0000 0.0000  2 Hf 2.82
Cl1 0.5000 0.5000 0.5000  12 Hg 3.99

Calculated values
magnetization: 0.00 μB per cell
crystal system: cubic
calculated density: 7.54 g/cm³
space-group type: No. 221
D(E_F): 4.6 states/eV/cell

=====

Taking the most stable structure as the zero point, the relative energies in eV/atom are #1 0.607; #2 0.000.